# GGA-PBE Na3SmPu2Te6, optimized geometry
# raw formation energy = -1126 meV/atom
data_Na3SmPu2Te6
_chemical_formula_sum 'Na3 Sm1 Pu2 Te6'
_cell_length_a 7.791
_cell_length_b 7.791
_cell_length_c 7.947
_cell_angle_alpha 99.40
_cell_angle_beta 99.40
_cell_angle_gamma 120.00
_space_group_name_H-M_alt 'P 1'
_space_group_IT_number 1
loop_
_space_group_symop_operation_xyz
'x,y,z'
loop_
_atom_site_label
_atom_site_type_symbol
_atom_site_fract_x
_atom_site_fract_y
_atom_site_fract_z
_atom_site_occupancy
Na1 Na 0.166 0.834 0.500 1
Na2 Na 0.834 0.166 0.500 1
Na3 Na 0.500 0.500 0.500 1
Sm1 Sm 0.000 0.000 0.000 1
Pu1 Pu 0.333 0.667 0.000 1
Pu2 Pu 0.667 0.333 0.000 1
Te1 Te 0.922 0.586 0.765 1
Te2 Te 0.743 0.743 0.235 1
Te3 Te 0.078 0.414 0.235 1
Te4 Te 0.586 0.922 0.765 1
Te5 Te 0.257 0.257 0.765 1
Te6 Te 0.414 0.078 0.235 1

---

# GGA-PBE Th4Os, optimized geometry
# relative energy among the computed polymorphs = 4.73 kcal/mol of atoms
# formation energy from the elements = 0.7 eV per formula unit
data_Th4Os
_chemical_formula_sum 'Th4 Os1'
_cell_length_a 5.543
_cell_length_b 5.543
_cell_length_c 5.543
_cell_angle_alpha 90.00
_cell_angle_beta 90.00
_cell_angle_gamma 90.00
_space_group_name_H-M_alt 'P 1'
_space_group_IT_number 1
loop_
_space_group_symop_operation_xyz
'x,y,z'
loop_
_atom_site_label
_atom_site_type_symbol
_atom_site_fract_x
_atom_site_fract_y
_atom_site_fract_z
_atom_site_occupancy
Os1 Os 0.500 0.500 0.500 1
Th1 Th 0.000 0.000 0.000 1
Th2 Th 0.500 0.000 0.500 1
Th3 Th 0.000 0.500 0.500 1
Th4 Th 0.500 0.500 0.000 1